Computed, not measured: a geometry-optimized NbBiSbF2 structure at the GGA-PBE level of DFT.

## Properties
Symmetry: P4/mmm
Electronic total energy: -0.3815 Ry per atom
Magnetic moment: 1.1 μB per formula unit
Formation energy without anion corrections: -0.828 eV per atom
N(E_F): 0.8 states/eV/cell

abc: 4.251 5.994 4.251
angles: 90.00 90.00 90.00
Last column: magnetic moment on the atom in μB.
Fractional positions:
F: 0.000 0.000 0.500  0.01
F: 0.500 0.000 0.000  0.00
Nb: 0.000 0.500 0.000  1.15
Sb: 0.000 0.000 0.000  -0.02
Bi: 0.500 0.500 0.500  -0.22

Computed, not measured: a geometry-optimized Y6MgCd structure at the GGA-PBE level of DFT.

## Properties
Symmetry: I4/mmm
Electronic total energy: -0.3866 Ry per atom
Magnetic moment: 0.0 μB per formula unit
Energy relative to the lowest polymorph listed for this composition: 0.0000 eV per atom
N(E_F): 11.0 states/eV/cell
DFT formation energy: -98.0 meV per atom

abc: 9.765 9.765 9.765
angles: 149.54 149.54 43.61
Fractional positions:
Y: 0.113 0.613 0.500
Y: 0.751 0.751 0.000
Y: 0.887 0.387 0.500
Y: 0.249 0.249 0.000
Y: 0.387 0.887 0.500
Y: 0.613 0.113 0.500
Cd: 0.500 0.500 0.000
Mg: 0.000 0.000 0.000

Computed, not measured: a geometry-optimized LaTaTl structure at the GGA-PBE level of DFT.

## Properties
Symmetry: I4mm
Electronic total energy: -0.4440 Ry per atom
Magnetic moment: 0.0 μB per formula unit
Energy relative to the lowest polymorph listed for this composition: 0.0000 eV per atom
N(E_F): 2.9 states/eV/cell
DFT formation energy: 341.4 meV per atom

abc: 7.772 7.772 3.174
angles: 78.22 78.22 23.57
Fractional positions:
La: 0.992 0.992 0.008
Tl: 0.679 0.679 0.321
Ta: 0.329 0.329 0.671

Computed, not measured: a geometry-optimized TbTm4Zn structure at the GGA-PBE level of DFT.

## Properties
Symmetry: P4/mmm
Electronic total energy: -0.2986 Ry per atom
Magnetic moment: 0.0 μB per formula unit
Energy relative to the lowest polymorph listed for this composition: 0.0000 eV per atom
N(E_F): 8.2 states/eV/cell
DFT formation energy: -97.9 meV per atom

abc: 3.502 3.502 13.574
angles: 90.00 90.00 90.00
Fractional positions:
Tm: 0.000 0.000 0.630
Tm: 0.000 0.000 0.370
Tm: 0.500 0.500 0.816
Tm: 0.500 0.500 0.184
Tb: 0.000 0.000 0.000
Zn: 0.500 0.500 0.500

Computed, not measured: a geometry-optimized Mg4NiIr structure at the GGA-PBE level of DFT.

## Properties
Symmetry: P4/mmm
Electronic total energy: -0.2613 Ry per atom
Magnetic moment: 0.0 μB per formula unit
Energy relative to the lowest polymorph listed for this composition: 0.1673 eV per atom
N(E_F): 1.8 states/eV/cell
DFT formation energy: -51.6 meV per atom

abc: 4.363 4.362 6.224
angles: 90.00 89.99 89.99
Fractional positions:
Mg: 0.501 0.997 0.750
Mg: 0.001 0.497 0.750
Mg: 0.501 0.997 0.247
Mg: 0.001 0.497 0.247
Ni: 0.001 0.997 0.498
Ir: 0.501 0.497 0.998

Computed, not measured: a geometry-optimized Cu2AsRh2 structure at the GGA-PBE level of DFT.

## Properties
Symmetry: P4/mbm
Electronic total energy: -0.4074 Ry per atom
Magnetic moment: 0.0 μB per formula unit
Energy relative to the lowest polymorph listed for this composition: 0.0000 eV per atom
N(E_F): 6.1 states/eV/cell
DFT formation energy: -34.6 meV per atom

abc: 6.171 6.171 3.973
angles: 90.00 90.00 90.00
Fractional positions:
Cu: 0.146 0.646 0.500
Cu: 0.854 0.354 0.500
Cu: 0.646 0.854 0.500
Cu: 0.354 0.146 0.500
As: 0.500 0.500 0.000
As: 0.000 0.000 0.000
Rh: 0.348 0.848 0.000
Rh: 0.848 0.652 0.000
Rh: 0.652 0.152 0.000
Rh: 0.152 0.348 0.000

Computed, not measured: a geometry-optimized AcNd2Hg structure at the GGA-PBE level of DFT.

## Properties
Symmetry: Fm-3m
Electronic total energy: -0.2571 Ry per atom
Magnetic moment: 0.0 μB per formula unit
Energy relative to the lowest polymorph listed for this composition: 0.2146 eV per atom
N(E_F): 5.9 states/eV/cell
DFT formation energy: -12.2 meV per atom

abc: 5.693 5.693 5.693
angles: 60.00 60.00 60.00
Fractional positions:
Hg: 0.500 0.500 0.500
Nd: 0.250 0.250 0.250
Nd: 0.750 0.750 0.750
Ac: 0.000 0.000 0.000

Computed, not measured: a geometry-optimized SrScCoSn2 structure at the GGA-PBE level of DFT.

## Properties
Symmetry: P4/mmm
Electronic total energy: -0.3272 Ry per atom
Magnetic moment: 1.1 μB per formula unit
N(E_F): 4.6 states/eV/cell
DFT formation energy: 173.3 meV per atom

abc: 5.563 4.578 5.563
angles: 90.00 90.00 90.00
Last column: magnetic moment on the atom in μB.
Fractional positions:
Co: 0.000 0.500 0.000  1.12
Sn: 0.500 0.000 0.000  0.03
Sn: 0.000 0.000 0.500  0.01
Sr: 0.500 0.500 0.500  0.00
Sc: 0.000 0.000 0.000  -0.07